Compound: CaPrNdY
Source: Alexandria via LeMat-Bulk
Functional: GGA-PBE
Structure: relaxed

POSCAR file:
```
CaPrNdY
1.0
5.879 0.000 0.000
2.940 5.092 0.000
2.940 1.697 4.800
Nd Y Pr Ca
1 1 1 1
direct
0.500 0.500 0.500 Nd
0.750 0.750 0.750 Y
0.000 0.000 0.000 Pr
0.250 0.250 0.250 Ca
```

Output
E = -17.6 eV for the cell shown
E_form = 0.44 eV per formula unit
Calculated volume = 35.9 A^3/atom
Relative energy among the computed polymorphs = 0.0748 eV per atom

=====

Compound: CaPrNd2Y4
Source: Alexandria via LeMat-Bulk
Functional: GGA-PBE
Structure: relaxed

POSCAR file:
```
CaPrNd2Y4
1.0
-1.767 -9.001 3.191
9.045 -2.844 -2.103
-3.702 10.533 4.690
Y Pr Nd Ca
8 2 4 2
direct
0.250 0.750 0.500 Y
0.750 0.250 0.000 Y
0.749 0.750 0.011 Y
0.250 0.249 0.511 Y
0.251 0.750 0.000 Y
0.750 0.751 0.489 Y
0.251 0.250 0.989 Y
0.750 0.249 0.500 Y
0.000 0.500 0.000 Pr
0.000 0.500 0.500 Pr
0.500 0.000 0.500 Nd
0.500 0.000 0.000 Nd
0.500 0.500 0.000 Nd
0.000 0.000 0.500 Nd
0.000 0.000 0.000 Ca
0.500 0.500 0.500 Ca
```

Output
E = -77.9 eV for the cell shown
E_form = 3.24 eV per formula unit
Calculated volume = 35.4 A^3/atom

=====

Compound: Ca2Nd3Pt2
Source: Alexandria via LeMat-Bulk
Functional: GGA-PBE
Structure: relaxed

POSCAR file:
```
Ca2Nd3Pt2
1.0
-1.689 -2.866 -2.194
4.949 -3.153 -3.311
1.891 -7.294 4.454
Ca Nd Pt
2 3 2
direct
0.170 0.468 0.192 Ca
0.830 0.532 0.808 Ca
0.619 0.199 0.563 Nd
0.381 0.801 0.437 Nd
0.500 0.000 0.000 Nd
0.832 0.093 0.244 Pt
0.168 0.907 0.756 Pt
```

Output
E = -35.2 eV for the cell shown
E_form = -4.86 eV per formula unit
Calculated volume = 30.2 A^3/atom

=====

Compound: CaNd2Pt
Source: Alexandria via LeMat-Bulk
Functional: GGA-PBE
Structure: relaxed

POSCAR file:
```
CaNd2Pt
1.0
-0.899 -6.623 1.069
7.434 -1.180 -1.057
1.678 1.422 10.216
Nd Pt Ca
8 4 4
direct
0.250 0.500 0.806 Nd
0.750 0.000 0.194 Nd
0.250 0.000 0.806 Nd
0.750 0.500 0.545 Nd
0.250 0.000 0.455 Nd
0.750 0.500 0.194 Nd
0.750 0.000 0.545 Nd
0.250 0.500 0.455 Nd
0.045 0.750 0.645 Pt
0.545 0.750 0.355 Pt
0.955 0.250 0.355 Pt
0.455 0.250 0.645 Pt
0.737 0.250 0.874 Ca
0.263 0.750 0.126 Ca
0.237 0.250 0.126 Ca
0.763 0.750 0.874 Ca
```

Output
E = -79.1 eV for the cell shown
E_form = -2.20 eV per formula unit
Calculated volume = 33.6 A^3/atom
Relative energy among the computed polymorphs = 0.0218 eV per atom

=====

Compound: CaNdPt10
Source: Alexandria via LeMat-Bulk
Functional: GGA-PBE
Structure: relaxed

POSCAR file:
```
CaNdPt10
1.0
-2.363 -1.663 -3.356
-3.887 -1.497 3.478
-4.199 8.261 -1.137
Pt Ca Nd
10 1 1
direct
0.500 0.749 0.749 Pt
0.000 0.500 0.165 Pt
0.500 0.251 0.251 Pt
0.500 0.749 0.251 Pt
0.500 0.500 0.000 Pt
0.500 0.000 0.500 Pt
0.000 0.500 0.835 Pt
0.000 0.000 0.668 Pt
0.000 0.000 0.332 Pt
0.500 0.251 0.749 Pt
0.000 0.000 0.000 Ca
0.000 0.500 0.500 Nd
```

Output
E = -74.8 eV for the cell shown
E_form = -7.62 eV per formula unit
Calculated volume = 18.7 A^3/atom

=====

Compound: CaNd3Pt2
Source: Alexandria via LeMat-Bulk
Functional: GGA-PBE
Structure: relaxed

POSCAR file:
```
CaNd3Pt2
1.0
-1.517 3.617 2.946
-6.609 -3.439 0.819
3.210 -4.469 7.141
Ca Nd Pt
2 6 4
direct
0.500 0.011 0.417 Ca
0.500 0.511 0.583 Ca
0.000 0.492 0.915 Nd
0.500 0.644 0.167 Nd
0.000 0.354 0.334 Nd
0.500 0.144 0.833 Nd
0.000 0.854 0.666 Nd
0.000 0.992 0.085 Nd
0.000 0.248 0.662 Pt
0.500 0.251 0.154 Pt
0.000 0.748 0.338 Pt
0.500 0.751 0.846 Pt
```

Output
E = -66.4 eV for the cell shown
E_form = -4.83 eV per formula unit
Calculated volume = 27.6 A^3/atom
Relative energy among the computed polymorphs = 0.0000 eV per atom